(1)
This record from the Alexandria database describes an optimized crystal structure of KSc2Sb. The functional is PBE.

Unit cell a=5.6334 b=5.6334 c=20.4641 alpha=90.00 beta=90.00 gamma=90.00
Last column: nearest neighbours and their distance in Å.
Space group I4_1/amd (No. 141, origin choice 2)
Inequivalent atoms, fractional coordinates:
K1 0.0000 0.2500 0.3750 x4  4 Sb 3.98, 8 Sc 4.06
Sc1 0.0000 0.0000 0.0000 x8  2 Sc 2.82, 2 Sb 2.92
Sb1 0.0000 0.2500 0.8750 x4  4 Sc 2.92

Calculated values
Density of states at the Fermi level: 14.2 states/eV per cell
ΔE_f (raw): 1.0 eV per formula unit

(2)
This record from the Alexandria database describes an optimized crystal structure of Ba2Zr4Si. The functional is PBE.

Unit cell a=5.0780 b=5.0780 c=18.9122 alpha=90.00 beta=90.00 gamma=90.00
Last column: nearest neighbours and their distance in Å.
Space group I4/mmm (No. 139)
Inequivalent atoms, fractional coordinates:
Ba1 0.0000 0.0000 0.1624 x4  9 Zr 3.65-3.99
Zr1 0.0000 0.0000 0.3710 x4  1 Si 2.44
Zr2 0.0000 0.5000 0.0000 x4  2 Si 2.54
Si1 0.0000 0.0000 0.5000 x2  6 Zr 2.44-2.54

Calculated values
Density of states at the Fermi level: 19.2 states/eV per cell
ΔE_f (raw): 3.7 eV per formula unit

(3)
This record from the Alexandria database describes an optimized crystal structure of Tb4SmIn3. The functional is PBE.

Unit cell a=5.3927 b=5.3927 c=27.2580 alpha=90.00 beta=90.00 gamma=120.00
Last column: nearest neighbours and their distance in Å.
Space group R-3m (No. 166, hexagonal axes)
Inequivalent atoms, fractional coordinates:
Tb1 0.0000 0.0000 0.1142 x6  5 In 3.11-3.39, 3 Sm 3.43
Tb2 0.0000 0.0000 0.3699 x6  7 In 3.27-3.58, 1 Sm 3.55
Sm1 0.0000 0.0000 0.5000 x3  8 Tb 3.43-3.55, 6 In 3.68
In1 0.0000 0.0000 0.0000 x3  8 Tb 3.11-3.27
In2 0.0000 0.0000 0.2387 x6  7 Tb 3.16-3.49

Calculated values
Density of states at the Fermi level: 31.6 states/eV per cell
E_form: -0.32 eV/atom
Polymorph energy (0 for the lowest one): 0 meV/atom

(4)
This record from the Alexandria database describes an optimized crystal structure of NbVSb4. The functional is PBE.

Unit cell a=14.3978 b=3.4882 c=6.0192 alpha=90.00 beta=114.49 gamma=90.00
Last column: nearest neighbours and their distance in Å.
Space group C2/m (No. 12)
Inequivalent atoms, fractional coordinates:
Nb1 0.0000 0.0000 0.0000 x2  6 Sb 2.80-2.81
V1 0.0000 0.5000 0.5000 x2  6 Sb 2.75-2.76
Sb1 0.1455 0.0000 0.4859 x4  2 V 2.75, 1 Nb 2.80
Sb2 0.1480 0.5000 0.9728 x4  1 V 2.76, 2 Nb 2.81

Calculated values
Density of states at the Fermi level: 5.8 states/eV per cell
ΔE_f (raw): 0.1 eV per formula unit

(5)
This record from the Alexandria database describes an optimized crystal structure of Nd14DyIn. The functional is PBE.

Unit cell a=7.2551 b=7.2551 c=10.3141 alpha=90.00 beta=90.00 gamma=90.00
Last column: nearest neighbours and their distance in Å.
Space group P4/mmm (No. 123)
Inequivalent atoms, fractional coordinates:
Nd1 0.0000 0.0000 0.0000 x1  12 Nd 3.63-3.66
Nd2 0.0000 0.5000 0.0000 x2  12 Nd 3.63-3.68
Nd3 0.0000 0.5000 0.5000 x2  8 Nd 3.60, 2 In 3.63, 2 Dy 3.63
Nd4 0.2480 0.2480 0.2553 x8  1 In 3.58, 10 Nd 3.60-3.69, 1 Dy 3.61
Nd5 0.5000 0.5000 0.0000 x1  12 Nd 3.63-3.69
Dy1 0.5000 0.5000 0.5000 x1  12 Nd 3.61-3.63
In1 0.0000 0.0000 0.5000 x1  12 Nd 3.58-3.63

Calculated values
Density of states at the Fermi level: 20.7 states/eV per cell
E_form: -0.04 eV/atom

(6)
This record from the Alexandria database describes an optimized crystal structure of Li2AgF4. The functional is PBE.

Unit cell a=11.3034 b=5.9587 c=5.1163 alpha=90.00 beta=106.38 gamma=90.00
Last column: nearest neighbours and their distance in Å.
Space group C2/c (No. 15)
Inequivalent atoms, fractional coordinates:
Li1 0.0000 0.1175 0.2500 x4  6 F 2.00-2.07
Li2 0.0000 0.3733 0.7500 x4  6 F 2.03-2.13
Ag1 0.2500 0.2500 0.5000 x4  4 F 2.13
F1 0.1012 0.1282 0.6398 x8  3 Li 2.00-2.03, 1 Ag 2.13
F2 0.1064 0.3757 0.1663 x8  3 Li 2.04-2.13, 1 Ag 2.13

Calculated values
Polymorph energy (0 for the lowest one): 0 meV/atom
ΔE_f (raw): -15.0 eV per formula unit

(7)
This record from the Alexandria database describes an optimized crystal structure of Rb2Zn2Sn. The functional is PBE.

Unit cell a=7.4804 b=7.4804 c=5.8616 alpha=90.00 beta=90.00 gamma=90.00
Last column: nearest neighbours and their distance in Å.
Space group P4/mbm (No. 127)
Inequivalent atoms, fractional coordinates:
Rb1 0.1824 0.3176 0.0000 x4  6 Zn 3.55-3.76, 5 Rb 3.86-3.87
Zn1 0.1287 0.6287 0.5000 x4  1 Zn 2.72, 2 Sn 2.94
Sn1 0.0000 0.0000 0.5000 x2  4 Zn 2.94

Calculated values
Density of states at the Fermi level: 3.3 states/eV per cell
E_form: 0.04 eV/atom
Polymorph energy (0 for the lowest one): 0 meV/atom

(8)
This record from the Alexandria database describes an optimized crystal structure of Be4AgPd. The functional is PBE.

Unit cell a=6.3253 b=6.3253 c=6.3253 alpha=90.00 beta=90.00 gamma=90.00
Last column: nearest neighbours and their distance in Å.
Space group F-43m (No. 216)
Inequivalent atoms, fractional coordinates:
Be1 0.1247 0.1247 0.1247 x16  6 Be 2.23-2.24
Ag1 0.0000 0.0000 0.5000 x4  12 Be 2.62, 4 Pd 2.74
Pd1 0.2500 0.2500 0.7500 x4  12 Be 2.62, 4 Ag 2.74

Calculated values
Density of states at the Fermi level: 9.8 states/eV per cell
E_form: -0.20 eV/atom